First-principles (PBE) data for a relaxed structure of NdGa3, as listed in the Open Quantum Materials Database.

a b c (Å): 10.0879 10.0879 10.0879
angles (deg): 36.89 36.89 36.89
With the nearest neighbours (Å) after each atom.
Fractional coordinates of all 16 atoms:
Nd 0.1312 0.1312 0.1312  12 Ga 3.07-3.21
Nd 0.2871 0.2871 0.2871  12 Ga 3.06-3.19
Nd 0.7129 0.7129 0.7129  12 Ga 3.06-3.19
Nd 0.8688 0.8688 0.8688  12 Ga 3.07-3.21
Ga 0.1778 0.5969 0.5969  6 Ga 2.68-2.89
Ga 0.2062 0.2062 0.7127  8 Ga 2.89-3.23, 4 Nd 3.10-3.19
Ga 0.2062 0.7127 0.2062  8 Ga 2.89-3.23, 4 Nd 3.10-3.19
Ga 0.2873 0.7938 0.7938  8 Ga 2.89-3.23, 4 Nd 3.10-3.19
Ga 0.4031 0.4031 0.8222  6 Ga 2.68-2.89
Ga 0.4031 0.8222 0.4031  6 Ga 2.68-2.89
Ga 0.5969 0.1778 0.5969  6 Ga 2.68-2.89
Ga 0.5969 0.5969 0.1778  6 Ga 2.68-2.89
Ga 0.7127 0.2062 0.2062  8 Ga 2.89-3.23, 4 Nd 3.10-3.19
Ga 0.7938 0.2873 0.7938  8 Ga 2.89-3.23, 4 Nd 3.10-3.19
Ga 0.7938 0.7938 0.2873  8 Ga 2.89-3.23, 4 Nd 3.10-3.19
Ga 0.8222 0.4031 0.4031  6 Ga 2.68-2.89

Computed properties:
- Polymorph energy (0 for the lowest one): 0.029 eV/atom
- Calculated density: 7.084 g/cm³